Compound: CaHg2Bi
Source: Alexandria via LeMat-Bulk
Functional: PBE
Structure: optimized geometry

Calculated values
Energy of formation, eV/atom: -0.33

Cell lengths 4.622, 4.622, 22.711 Å; angles 90.00, 90.00, 90.00 degrees
Space group I-42d (No. 122)
Asymmetric unit:
Ca  0.000  0.000  0.000 (multiplicity 4)
Hg  0.248  0.250  0.625 (multiplicity 8)
Bi  0.000  0.000  0.500 (multiplicity 4)

---

Compound: NaOsS2
Source: Alexandria via LeMat-Bulk
Functional: PBE
Structure: optimized geometry

Calculated values
Formation energy without anion corrections, meV per atom: -318

Cell lengths 6.293, 6.293, 9.309 Å; angles 90.00, 90.00, 90.00 degrees
Space group I-42d (No. 122)
Asymmetric unit:
Na  0.000  0.000  0.000 (multiplicity 4)
Os  0.000  0.000  0.500 (multiplicity 4)
S  0.173  0.250  0.625 (multiplicity 8)

---

Compound: CaY2UO6
Source: Alexandria via LeMat-Bulk
Functional: PBE
Structure: optimized geometry

Calculated values
Formation energy without anion corrections, meV per atom: -3271

Cell lengths 5.879, 5.886, 6.112 Å; angles 61.42, 61.30, 60.16 degrees
Space group P1 (No. 1)
Asymmetric unit:
Ca  0.000  0.000  0.000 (multiplicity 1)
Y  0.281  0.278  0.163 (multiplicity 1)
Y  0.781  0.785  0.653 (multiplicity 1)
U  0.492  0.496  0.519 (multiplicity 1)
O  0.106  0.406  0.820 (multiplicity 1)
O  0.185  0.888  0.341 (multiplicity 1)
O  0.406  0.665  0.829 (multiplicity 1)
O  0.588  0.184  0.341 (multiplicity 1)
O  0.665  0.102  0.827 (multiplicity 1)
O  0.883  0.586  0.339 (multiplicity 1)

---

Compound: ScSiTc2Sn
Source: Alexandria via LeMat-Bulk
Functional: PBE
Structure: optimized geometry

Calculated values
Formation energy without anion corrections, meV per atom: 565

Cell lengths 4.506, 4.506, 4.970 Å; angles 90.00, 90.00, 90.00 degrees
Space group P4/mmm (No. 123)
Asymmetric unit:
Sc  0.000  0.000  0.000 (multiplicity 1)
Si  0.500  0.500  0.500 (multiplicity 1)
Tc  0.000  0.500  0.500 (multiplicity 2)
Sn  0.500  0.500  0.000 (multiplicity 1)

---

Compound: Pr4CoIrCl2
Source: Alexandria via LeMat-Bulk
Functional: PBE
Structure: optimized geometry

Calculated values
Formation energy without anion corrections, meV per atom: -995

Cell lengths 7.071, 4.074, 7.956 Å; angles 90.00, 107.04, 90.00 degrees
Space group P2/m (No. 10)
Asymmetric unit:
Pr  0.225  0.000  0.201 (multiplicity 2)
Pr  0.259  0.500  0.795 (multiplicity 2)
Co  0.000  0.500  0.000 (multiplicity 1)
Ir  0.500  0.000  0.000 (multiplicity 1)
Cl  0.000  0.000  0.500 (multiplicity 1)
Cl  0.500  0.500  0.500 (multiplicity 1)

---

Compound: LiLa2W
Source: Alexandria via LeMat-Bulk
Functional: PBE
Structure: optimized geometry

Calculated values
Energy of formation, eV/atom: 0.47
Offset from the most stable computed form, eV per formula unit: 0.239

Cell lengths 3.623, 5.381, 10.738 Å; angles 90.00, 90.00, 90.00 degrees
Space group Cmmm (No. 65)
Asymmetric unit:
Li  0.000  0.000  0.000 (multiplicity 2)
La  0.000  0.500  0.286 (multiplicity 4)
W  0.000  0.000  0.500 (multiplicity 2)

---

Compound: PrYGaSi
Source: Alexandria via LeMat-Bulk
Functional: PBE
Structure: optimized geometry

Calculated values
Formation energy without anion corrections, meV per atom: -723

Cell lengths 4.022, 4.400, 11.048 Å; angles 90.00, 90.00, 90.00 degrees
Space group Amm2 (No. 38)
Asymmetric unit:
Pr  0.000  0.000  0.000 (multiplicity 2)
Y  0.500  0.000  0.281 (multiplicity 2)
Ga  0.500  0.000  0.573 (multiplicity 2)
Si  0.000  0.000  0.718 (multiplicity 2)

---

Compound: NaScSb2
Source: Alexandria via LeMat-Bulk
Functional: PBE
Structure: optimized geometry

Calculated values
Formation energy without anion corrections, meV per atom: -328
Offset from the most stable computed form, eV per formula unit: 0.666

Cell lengths 8.161, 8.161, 6.546 Å; angles 90.00, 90.00, 90.00 degrees
Space group I-42d (No. 122)
Asymmetric unit:
Na  0.000  0.000  0.000 (multiplicity 4)
Sc  0.000  0.000  0.500 (multiplicity 4)
Sb  0.235  0.750  0.625 (multiplicity 8)

---

Compound: Ga2AgAu4
Source: Alexandria via LeMat-Bulk
Functional: PBE
Structure: optimized geometry

Calculated values
Energy of formation, eV/atom: -0.11
Offset from the most stable computed form, eV per formula unit: 0.000

Cell lengths 17.481, 4.395, 6.734 Å; angles 90.00, 90.00, 90.00 degrees
Space group Pnma (No. 62)
Asymmetric unit:
Ga  0.028  0.250  0.205 (multiplicity 4)
Ga  0.194  0.250  0.016 (multiplicity 4)
Ag  0.163  0.250  0.477 (multiplicity 4)
Au  0.057  0.750  0.452 (multiplicity 4)
Au  0.064  0.250  0.830 (multiplicity 4)
Au  0.178  0.750  0.770 (multiplicity 4)
Au  0.200  0.750  0.224 (multiplicity 4)

---

Compound: Cd2CuPtW
Source: Alexandria via LeMat-Bulk
Functional: PBE
Structure: optimized geometry

Calculated values
Energy of formation, eV/atom: 1.74
Offset from the most stable computed form, eV per formula unit: 3.054

Cell lengths 5.239, 5.239, 4.565 Å; angles 90.00, 90.00, 90.00 degrees
Space group P4/mmm (No. 123)
Asymmetric unit:
Cd  0.000  0.500  0.000 (multiplicity 2)
Cu  0.000  0.000  0.500 (multiplicity 1)
Pt  0.500  0.500  0.500 (multiplicity 1)
W  0.000  0.000  0.000 (multiplicity 1)

---

The records above yield density of states at the Fermi level values of 4.5 9.1 6.3 5.8 1.8 7.5 6.1 1.1 8.0 4.1 states/eV per cell, respectively.